No. 1
{
  "formula": "Be3CuRh",
  "functional": "GGA-PBE",
  "state": "optimized geometry",
  "lattice_angstrom": [[3.8919, 0.0000, 0.0000], [0.0000, 3.8919, 0.0000], [0.0000, 0.0000, 3.8919]],
  "species": ["Be", "Be", "Be", "Cu", "Rh"],
  "fractional_positions": [[0.0000, 0.0000, 0.5000], [0.0000, 0.5000, 0.0000], [0.5000, 0.0000, 0.0000], [0.0000, 0.0000, 0.0000], [0.5000, 0.5000, 0.5000]],
  "polymorph_energy_kj_per_mol_fu": 0,
  "formation_enthalpy_0k_ev_per_atom": 0.484
}

---

No. 2
{
  "formula": "Be3CuRh",
  "functional": "GGA-PBE",
  "state": "optimized geometry",
  "lattice_angstrom": [[4.1249, 0.0000, 0.0000], [0.0000, 4.1249, 0.0000], [0.0000, 0.0000, 4.1249]],
  "species": ["Be", "Be", "Be", "Cu", "Rh"],
  "fractional_positions": [[0.0000, 0.0000, 0.5000], [0.0000, 0.5000, 0.0000], [0.5000, 0.0000, 0.0000], [0.5000, 0.5000, 0.5000], [0.0000, 0.0000, 0.0000]],
  "polymorph_energy_kj_per_mol_fu": 15,
  "formation_enthalpy_0k_ev_per_atom": 0.514
}

---

No. 3
{
  "formula": "Be15Cu2Rh2",
  "functional": "GGA-PBE",
  "state": "optimized geometry",
  "lattice_angstrom": [[3.6627, 2.1147, 3.6118], [-3.6627, 2.1147, 3.6118], [0.0000, -4.2294, 3.6118]],
  "species": ["Be", "Be", "Be", "Be", "Be", "Be", "Be", "Be", "Be", "Be", "Be", "Be", "Be", "Be", "Be", "Cu", "Cu", "Rh", "Rh"],
  "fractional_positions": [[0.0000, 0.0000, 0.5000], [0.0000, 0.3111, 0.6889], [0.0000, 0.5000, 0.0000], [0.0000, 0.6889, 0.3111], [0.1684, 0.6520, 0.6520], [0.3111, 0.0000, 0.6889], [0.3111, 0.6889, 0.0000], [0.3480, 0.3480, 0.8316], [0.3480, 0.8316, 0.3480], [0.5000, 0.0000, 0.0000], [0.6520, 0.1684, 0.6520], [0.6520, 0.6520, 0.1684], [0.6889, 0.0000, 0.3111], [0.6889, 0.3111, 0.0000], [0.8316, 0.3480, 0.3480], [0.1056, 0.1056, 0.1056], [0.8944, 0.8944, 0.8944], [0.3529, 0.3529, 0.3529], [0.6471, 0.6471, 0.6471]],
  "formation_enthalpy_0k_ev_per_atom": -0.227
}

---

Number 1: ρ 5.45 Mg/m³. Number 2: ρ 4.58 Mg/m³. Number 3: ρ 4.63 Mg/m³.